1.
First-principles (GGA-PBE) data for crystalline Ga4SnPb at its relaxed geometry, as listed in Alexandria.

abc: 4.492 4.492 8.039
angles: 90.00 90.00 120.00
Atoms (fractional coordinates):
Ga 0.667 0.333 0.762
Ga 0.333 0.667 0.238
Ga 0.667 0.333 0.238
Ga 0.333 0.667 0.762
Sn 0.000 0.000 0.000
Pb 0.000 0.000 0.500

Total moment (μB per cell): 0.00
V (Å³ per atom): 23.414
Crystal system: hexagonal
ΔH_f (0 K) (meV/atom): 85

2.
First-principles (GGA-PBE) data for crystalline Ga2SnTePb at its relaxed geometry, as listed in Alexandria.

abc: 5.259 6.097 5.259
angles: 90.00 90.00 90.00
Atoms (fractional coordinates):
Pb 0.000 0.500 0.000
Te 0.500 0.500 0.500
Sn 0.000 0.000 0.000
Ga 0.000 0.000 0.500
Ga 0.500 0.000 0.000

Total moment (μB per cell): 0.00
V (Å³ per atom): 33.720
Crystal system: tetragonal
Energy relative to the elements, uncorrected (eV per atom): 0.30

no.,VASP energy (eV per atom)
1,-3.218
2,-3.079